Crystalline MnPdRhS4 at its relaxed geometry, computed with PBE.

- M_tot (μB per formula unit) = 2.58
- calculated density (g cm⁻³) = 5.32
- DFT total energy (eV/atom) = -5.935
- crystal system = orthorhombic
- symmetry = Imma, No. 74

Cell: 7.019 7.019 7.019 Å, 121.03 118.71 90.24°
Atoms (fractional coordinates):
Mn  0.500  0.000  0.000
Mn  0.500  0.500  0.500
Pd  0.123  0.373  0.750
Pd  0.877  0.627  0.250
Rh  0.000  0.000  0.000
Rh  0.500  0.000  0.500
S  0.263  0.240  0.477
S  0.263  0.786  0.023
S  0.266  0.241  0.025
S  0.283  0.759  0.525
S  0.717  0.241  0.475
S  0.734  0.759  0.975
S  0.737  0.214  0.977
S  0.737  0.760  0.523

***

Crystalline MnSbPdRh at its relaxed geometry, computed with PBE.

- M_tot (μB per formula unit) = 4.21
- calculated density (g cm⁻³) = 9.89
- DFT total energy (eV/atom) = -6.748
- crystal system = cubic
- symmetry = F-43m, No. 216

Cell: 4.509 4.509 4.509 Å, 60.00 60.00 60.00°
Atoms (fractional coordinates):
Mn  0.000  0.000  0.000
Sb  0.500  0.500  0.500
Pd  0.750  0.750  0.750
Rh  0.250  0.250  0.250

***

Crystalline MnSiPdRh at its relaxed geometry, computed with PBE.

- M_tot (μB per formula unit) = 4.10
- calculated density (g cm⁻³) = 8.75
- DFT total energy (eV/atom) = -7.215
- crystal system = cubic
- symmetry = F-43m, No. 216

Cell: 4.280 4.280 4.280 Å, 60.00 60.00 60.00°
Atoms (fractional coordinates):
Mn  0.000  0.000  0.000
Si  0.500  0.500  0.500
Pd  0.250  0.250  0.250
Rh  0.750  0.750  0.750

***

Crystalline SmMnPdRh at its relaxed geometry, computed with PBE.

- M_tot (μB per formula unit) = 4.40
- calculated density (g cm⁻³) = 9.35
- energy of formation from the pure elements (eV/atom) = -0.4062
- crystal system = cubic
- symmetry = F-43m, No. 216

Cell: 4.705 4.705 4.705 Å, 60.00 60.00 60.00°
Atoms (fractional coordinates):
Sm  0.000  0.000  0.000
Mn  0.500  0.500  0.500
Pd  0.250  0.250  0.250
Rh  0.750  0.750  0.750

***

Crystalline TaMnPdRh at its relaxed geometry, computed with PBE.

- M_tot (μB per formula unit) = 4.06
- calculated density (g cm⁻³) = 11.87
- energy of formation from the pure elements (eV/atom) = -0.2268
- crystal system = cubic
- symmetry = F-43m, No. 216

Cell: 4.450 4.450 4.450 Å, 60.00 60.00 60.00°
Atoms (fractional coordinates):
Ta  0.000  0.000  0.000
Mn  0.500  0.500  0.500
Pd  0.750  0.750  0.750
Rh  0.250  0.250  0.250

***

Crystalline MnTePdRh at its relaxed geometry, computed with PBE.

- M_tot (μB per formula unit) = 4.37
- calculated density (g cm⁻³) = 9.74
- DFT total energy (eV/atom) = -6.338
- crystal system = cubic
- symmetry = F-43m, No. 216

Cell: 4.554 4.554 4.554 Å, 60.00 60.00 60.00°
Atoms (fractional coordinates):
Mn  0.000  0.000  0.000
Te  0.500  0.500  0.500
Pd  0.750  0.750  0.750
Rh  0.250  0.250  0.250

***

Please write out number 1 again, unchanged.
Crystalline MnPdRhS4 at its relaxed geometry, computed with PBE.

- M_tot (μB per formula unit) = 2.58
- calculated density (g cm⁻³) = 5.32
- DFT total energy (eV/atom) = -5.935
- crystal system = orthorhombic
- symmetry = Imma, No. 74

Cell: 7.019 7.019 7.019 Å, 121.03 118.71 90.24°
Atoms (fractional coordinates):
Mn  0.500  0.000  0.000
Mn  0.500  0.500  0.500
Pd  0.123  0.373  0.750
Pd  0.877  0.627  0.250
Rh  0.000  0.000  0.000
Rh  0.500  0.000  0.500
S  0.263  0.240  0.477
S  0.263  0.786  0.023
S  0.266  0.241  0.025
S  0.283  0.759  0.525
S  0.717  0.241  0.475
S  0.734  0.759  0.975
S  0.737  0.214  0.977
S  0.737  0.760  0.523

***

Repeat the third record exactly.
Crystalline MnSiPdRh at its relaxed geometry, computed with PBE.

- M_tot (μB per formula unit) = 4.10
- calculated density (g cm⁻³) = 8.75
- DFT total energy (eV/atom) = -7.215
- crystal system = cubic
- symmetry = F-43m, No. 216

Cell: 4.280 4.280 4.280 Å, 60.00 60.00 60.00°
Atoms (fractional coordinates):
Mn  0.000  0.000  0.000
Si  0.500  0.500  0.500
Pd  0.250  0.250  0.250
Rh  0.750  0.750  0.750

***

Which of these has the lowest M_tot?
MnPdRhS4